[1]
{"formula": "ThBiRu", "functional": "PBE", "state": "optimized geometry", "lattice": [[-1.735, 1.735, 5.995], [1.735, -1.735, 5.995], [1.735, 1.735, -5.995]], "species": ["Th", "Bi", "Ru"], "fractional_positions": [[0.000, 0.000, 0.000], [0.715, 0.715, 0.000], [0.354, 0.354, 0.000]], "final_energy_ev_per_atom": -7.01, "dos_at_fermi_per_ev_atom": 1.270, "magmom_total_mub_per_atom": 0.1462, "sg": "No. 107", "ef_mev_per_atom": -154.6}



[2]
{"formula": "Th4Bi8Ru3", "functional": "PBE", "state": "optimized geometry", "lattice": [[4.661, 0.000, 0.000], [0.000, 4.661, 0.000], [0.000, 0.000, 19.059]], "species": ["Th", "Th", "Th", "Th", "Bi", "Bi", "Bi", "Bi", "Bi", "Bi", "Bi", "Bi", "Ru", "Ru", "Ru"], "fractional_positions": [[0.000, 0.500, 0.107], [0.000, 0.500, 0.609], [0.500, 0.000, 0.391], [0.500, 0.000, 0.893], [0.000, 0.000, 0.246], [0.000, 0.000, 0.754], [0.000, 0.500, 0.414], [0.000, 0.500, 0.924], [0.500, 0.000, 0.076], [0.500, 0.000, 0.586], [0.500, 0.500, 0.247], [0.500, 0.500, 0.753], [0.000, 0.000, 0.000], [0.000, 0.000, 0.500], [0.500, 0.500, 0.500]], "final_energy_ev_per_atom": -6.30, "dos_at_fermi_per_ev_atom": 0.791, "magmom_total_mub_per_atom": 0.0000, "sg": "No. 115", "ef_mev_per_atom": -394.7}



[3]
{"formula": "Th4BiRu", "functional": "PBE", "state": "optimized geometry", "lattice": [[7.491, 0.000, 0.000], [0.000, 7.491, 0.000], [0.000, 0.000, 6.280]], "species": ["Th", "Th", "Th", "Th", "Th", "Th", "Th", "Th", "Bi", "Bi", "Ru", "Ru"], "fractional_positions": [[0.139, 0.317, 0.000], [0.139, 0.683, 0.500], [0.317, 0.139, 0.500], [0.317, 0.861, 0.000], [0.683, 0.139, 0.000], [0.683, 0.861, 0.500], [0.861, 0.317, 0.500], [0.861, 0.683, 0.000], [0.500, 0.500, 0.250], [0.500, 0.500, 0.750], [0.000, 0.000, 0.250], [0.000, 0.000, 0.750]], "final_energy_ev_per_atom": -7.50, "dos_at_fermi_per_ev_atom": 1.128, "relative_energy_mev_per_atom": 0, "magmom_total_mub_per_atom": 0.0000, "sg": "No. 124", "ef_mev_per_atom": -356.4}



[4]
{"formula": "ThBiRu", "functional": "PBE", "state": "optimized geometry", "lattice": [[4.788, 0.000, 0.000], [-2.394, 4.147, 0.000], [0.000, 0.000, 3.651]], "species": ["Th", "Bi", "Ru"], "fractional_positions": [[0.000, 0.000, 0.000], [0.333, 0.667, 0.500], [0.667, 0.333, 0.500]], "final_energy_ev_per_atom": -7.14, "dos_at_fermi_per_ev_atom": 0.931, "magmom_total_mub_per_atom": 0.0000, "sg": "No. 187", "ef_mev_per_atom": -277.6}